Material: TiNbZnRe
Method: DFT, PBE
State: optimized geometry

Formation enthalpy at 0 K: -0.1853 eV per atom
ρ: 10.19 g/cm3
N(E_F): 0.37 states/eV/atom

a b c (Å): 4.488 4.488 4.488
angles (deg): 60.00 60.00 60.00
Sites, in units of the cell vectors:
Ti 0.000 0.000 0.000
Nb 0.500 0.500 0.500
Zn 0.250 0.250 0.250
Re 0.750 0.750 0.750

Material: Zr2Ti5NbRe2
Method: DFT, PBE
State: optimized geometry

Formation enthalpy at 0 K: 0.0053 eV per atom
ρ: 8.00 g/cm3
N(E_F): 0.96 states/eV/atom

a b c (Å): 10.179 10.179 3.553
angles (deg): 90.00 90.00 90.00
Sites, in units of the cell vectors:
Zr 0.178 0.322 0.000
Zr 0.322 0.822 0.000
Zr 0.678 0.178 0.000
Zr 0.822 0.678 0.000
Ti 0.000 0.500 0.500
Ti 0.045 0.794 0.500
Ti 0.206 0.045 0.500
Ti 0.294 0.545 0.500
Ti 0.455 0.294 0.500
Ti 0.500 0.000 0.500
Ti 0.545 0.706 0.500
Ti 0.706 0.455 0.500
Ti 0.794 0.955 0.500
Ti 0.955 0.206 0.500
Nb 0.000 0.000 0.000
Nb 0.500 0.500 0.000
Re 0.135 0.635 0.000
Re 0.365 0.135 0.000
Re 0.635 0.865 0.000
Re 0.865 0.365 0.000

Material: NbTlRe3
Method: DFT, PBE
State: optimized geometry

Formation enthalpy at 0 K: 3.1594 eV per atom
Polymorph energy (0 for the lowest one): 849 meV/atom
ρ: 12.67 g/cm3
N(E_F): 1.36 states/eV/atom

a b c (Å): 4.823 4.823 4.823
angles (deg): 90.00 90.00 90.00
Sites, in units of the cell vectors:
Nb 0.000 0.000 0.000
Tl 0.500 0.500 0.500
Re 0.000 0.500 0.500
Re 0.500 0.000 0.500
Re 0.500 0.500 0.000

Material: Nb2TlRe
Method: DFT, PBE
State: optimized geometry

Formation enthalpy at 0 K: 0.4336 eV per atom
Polymorph energy (0 for the lowest one): 0 meV/atom
ρ: 13.06 g/cm3
N(E_F): 1.32 states/eV/atom

a b c (Å): 4.698 4.698 4.698
angles (deg): 60.00 60.00 60.00
Sites, in units of the cell vectors:
Nb 0.250 0.250 0.250
Nb 0.750 0.750 0.750
Tl 0.000 0.000 0.000
Re 0.500 0.500 0.500

Material: Nb2TlRe
Method: DFT, PBE
State: optimized geometry

Formation enthalpy at 0 K: 0.7067 eV per atom
Polymorph energy (0 for the lowest one): 273 meV/atom
ρ: 11.62 g/cm3
N(E_F): 0.61 states/eV/atom

a b c (Å): 6.101 6.101 6.101
angles (deg): 102.23 102.23 125.20
Sites, in units of the cell vectors:
Nb 0.074 0.625 0.949
Nb 0.375 0.324 0.449
Nb 0.676 0.125 0.051
Nb 0.875 0.926 0.551
Tl 0.250 0.750 0.500
Tl 0.500 0.500 0.000
Re 0.000 0.000 0.000
Re 0.750 0.250 0.500

Material: NbTlRe3
Method: DFT, PBE
State: optimized geometry

Formation enthalpy at 0 K: 2.3106 eV per atom
Polymorph energy (0 for the lowest one): 0 meV/atom
ρ: 12.56 g/cm3
N(E_F): 1.21 states/eV/atom

a b c (Å): 4.836 4.836 4.836
angles (deg): 90.00 90.00 90.00
Sites, in units of the cell vectors:
Nb 0.000 0.000 0.000
Tl 0.500 0.500 0.500
Re 0.000 0.000 0.500
Re 0.000 0.500 0.000
Re 0.500 0.000 0.000